Here is a relaxed structure of SrScOs2 from Alexandria via LeMat-Bulk. Energies are from GGA-PBE.

POSCAR file:
```
SrScOs2
1.0
9.3101 0.0143 0.0084
8.7900 3.0683 0.0084
8.7900 1.4970 2.6783
Sc Os Sr
1 2 1
Cartesian
6.7226 1.1449 0.6738
26.6676 4.5417 2.6729
13.6678 2.3277 1.3699
20.1677 3.4347 2.0214
```

- E_form: 0.587 eV per atom
- SG: R-3m

---

Here is a relaxed structure of Mn3P from Alexandria via LeMat-Bulk. Energies are from GGA-PBE.

POSCAR file:
```
Mn3P
1.0
4.5517 0.0000 0.0000
0.0000 6.1565 0.0000
0.0000 0.0000 6.7105
Mn P
12 4
Cartesian
0.5082 1.9399 3.0133
0.5176 0.1247 5.0329
0.5082 1.9399 0.3420
1.7677 5.0181 3.0133
2.7935 2.9536 1.6776
4.0341 6.0318 1.6776
1.7582 3.2029 5.0329
2.7841 1.1384 3.6972
4.0435 4.2166 6.3685
4.0435 4.2166 3.6972
2.7841 1.1384 6.3685
1.7677 5.0181 0.3420
2.7229 5.4637 5.0329
0.4470 3.7710 1.6776
4.1047 2.3855 5.0329
1.8288 0.6928 1.6776
```

- E_form: -0.315 eV per atom
- SG: Pnma

---

Number 1: D(E_F) 0.55 states/eV/atom, calculated volume 18.98 A^3/atom, final energy -28.1 eV per cell. Number 2: D(E_F) 0.85 states/eV/atom, calculated volume 11.75 A^3/atom, final energy -136.7 eV per cell.